(1)
VASP calculation (PBE) on a relaxed structure of Cs2PH2.

## Properties
Fermi-level density of states (states/eV per cell): 0.9
Crystal system: tetragonal
Symmetry: I4/mmm, No. 139
Total moment (μB/f.u.): 1.0
Polymorph energy (0 for the lowest one) (eV/f.u.): 0.00

a = 7.759 Å, b = 7.759 Å, c = 7.759 Å
α = 147.12°, β = 147.12°, γ = 47.19°
Atoms (fractional coordinates):
Cs 0.132 0.132 0.000
Cs 0.868 0.868 0.000
P 0.500 0.500 0.000
H 0.375 0.375 0.000
H 0.625 0.625 0.000

(2)
VASP calculation (PBE) on a relaxed structure of NaCo.

## Properties
Fermi-level density of states (states/eV per cell): 2.8
Crystal system: monoclinic
Symmetry: C2/m, No. 12
Total moment (μB/f.u.): 1.5

a = 3.830 Å, b = 3.830 Å, c = 7.684 Å
α = 104.03°, β = 104.03°, γ = 59.57°
Atoms (fractional coordinates):
Na 0.090 0.090 0.278
Na 0.910 0.910 0.722
Co 0.334 0.334 0.000
Co 0.666 0.666 0.000

no.,total energy (eV per atom)
1,-2.698
2,-3.701